(1)
HgAsSe2 after structural relaxation. Source: Alexandria, functional GGA-PBE.

Calculated values
Relative energy among the computed polymorphs (eV/atom): 0.282
SG: No. 119
Energy relative to the elements, uncorrected (meV per atom): 215

Cell lengths 8.872, 8.872, 8.872 Å; angles 155.36, 155.36, 35.13 degrees
Sites, in units of the cell vectors:
Hg  0.000  0.000  0.000
As  0.750  0.250  0.500
Se  0.250  0.750  0.500
Se  0.500  0.500  0.000

(2)
Na3TlOs after structural relaxation. Source: Alexandria, functional GGA-PBE.

Calculated values
Formation enthalpy at 0 K (kJ per mole of atoms): 114
Relative energy among the computed polymorphs (eV/atom): 0.000
SG: No. 221

Cell lengths 5.512, 5.512, 5.512 Å; angles 90.00, 90.00, 90.00 degrees
Sites, in units of the cell vectors:
Na  0.000  0.000  0.500
Na  0.000  0.500  0.000
Na  0.500  0.000  0.000
Tl  0.500  0.500  0.500
Os  0.000  0.000  0.000

(3)
LiHoMgGa after structural relaxation. Source: Alexandria, functional GGA-PBE.

Calculated values
Formation enthalpy at 0 K (kJ per mole of atoms): -30
SG: No. 216

Cell lengths 4.856, 4.856, 4.856 Å; angles 60.00, 60.00, 60.00 degrees
Sites, in units of the cell vectors:
Li  0.000  0.000  0.000
Ho  0.250  0.250  0.250
Mg  0.750  0.750  0.750
Ga  0.500  0.500  0.500

(4)
AsSe4Cl2 after structural relaxation. Source: Alexandria, functional GGA-PBE.

Calculated values
SG: No. 139
Energy relative to the elements, uncorrected (meV per atom): 412

Cell lengths 9.467, 9.467, 9.467 Å; angles 149.78, 149.78, 43.26 degrees
Sites, in units of the cell vectors:
As  0.000  0.000  0.000
Se  0.000  0.500  0.500
Se  0.172  0.172  0.000
Se  0.500  0.000  0.500
Se  0.828  0.828  0.000
Cl  0.295  0.295  0.000
Cl  0.705  0.705  0.000

(5)
LiHf2PdPt5 after structural relaxation. Source: Alexandria, functional GGA-PBE.

Calculated values
Formation enthalpy at 0 K (kJ per mole of atoms): -31
SG: No. 140

Cell lengths 8.572, 8.572, 8.572 Å; angles 127.57, 127.57, 77.32 degrees
Sites, in units of the cell vectors:
Li  0.250  0.250  0.000
Li  0.750  0.750  0.000
Hf  0.141  0.641  0.781
Hf  0.359  0.141  0.500
Hf  0.641  0.859  0.500
Hf  0.859  0.359  0.219
Pd  0.250  0.750  0.500
Pd  0.750  0.250  0.500
Pt  0.000  0.000  0.000
Pt  0.051  0.233  0.500
Pt  0.233  0.733  0.182
Pt  0.267  0.449  0.500
Pt  0.449  0.949  0.182
Pt  0.500  0.500  0.000
Pt  0.551  0.051  0.818
Pt  0.733  0.551  0.500
Pt  0.767  0.267  0.818
Pt  0.949  0.767  0.500

(6)
KAg2As after structural relaxation. Source: Alexandria, functional GGA-PBE.

Calculated values
Formation enthalpy at 0 K (kJ per mole of atoms): 18
SG: No. 119

Cell lengths 5.204, 5.204, 5.204 Å; angles 125.75, 125.75, 80.31 degrees
Sites, in units of the cell vectors:
K  0.000  0.000  0.000
Ag  0.250  0.750  0.500
Ag  0.500  0.500  0.000
As  0.750  0.250  0.500

Please write out number 4 again, unchanged.
AsSe4Cl2 after structural relaxation. Source: Alexandria, functional GGA-PBE.

Calculated values
SG: No. 139
Energy relative to the elements, uncorrected (meV per atom): 412

Cell lengths 9.467, 9.467, 9.467 Å; angles 149.78, 149.78, 43.26 degrees
Sites, in units of the cell vectors:
As  0.000  0.000  0.000
Se  0.000  0.500  0.500
Se  0.172  0.172  0.000
Se  0.500  0.000  0.500
Se  0.828  0.828  0.000
Cl  0.295  0.295  0.000
Cl  0.705  0.705  0.000